[1]
Na2TcGeH6 | PBE | optimized geometry

a = 7.468 Å, b = 7.484 Å, c = 5.285 Å
α = 90.00°, β = 134.94°, γ = 90.00°
Space group C2/m (No. 12)
Symmetry-distinct sites (fractional):
Na (0.000, 0.250, 0.000)
Tc (0.000, 0.000, 0.500)
Ge (0.000, 0.500, 0.500)
H (0.000, 0.241, 0.500)
H (0.241, 0.000, 0.981)
H (0.242, 0.000, 0.502)

Properties
The density is 3.54 g cm⁻³. Its electronic total energy is -73.4 eV per cell.

---

[2]
NaGeTeH2 | PBE | optimized geometry

a = 4.067 Å, b = 4.067 Å, c = 5.746 Å
α = 90.00°, β = 90.00°, γ = 90.00°
Space group P4/mmm (No. 123)
Symmetry-distinct sites (fractional):
Na (0.000, 0.000, 0.000)
Ge (0.500, 0.500, 0.500)
Te (0.500, 0.500, 0.000)
H (0.000, 0.500, 0.500)

Properties
The density is 3.94 g cm⁻³. Its electronic total energy is -15.3 eV per cell.

---

[3]
Na2YGeH | PBE | optimized geometry

a = 5.919 Å, b = 5.919 Å, c = 3.653 Å
α = 90.00°, β = 90.00°, γ = 90.00°
Space group P4/mmm (No. 123)
Symmetry-distinct sites (fractional):
Na (0.000, 0.500, 0.000)
Y (0.000, 0.000, 0.500)
Ge (0.500, 0.500, 0.000)
H (0.500, 0.500, 0.500)

Properties
The density is 2.71 g cm⁻³. Its electronic total energy is -14.6 eV per cell.

---

[4]
NaZrGe2H | PBE | optimized geometry

a = 5.259 Å, b = 5.259 Å, c = 3.264 Å
α = 90.00°, β = 90.00°, γ = 90.00°
Space group P4/mmm (No. 123)
Symmetry-distinct sites (fractional):
Na (0.000, 0.000, 0.000)
Zr (0.500, 0.500, 0.500)
Ge (0.000, 0.500, 0.000)
H (0.000, 0.000, 0.500)

Properties
The density is 4.79 g cm⁻³. Its electronic total energy is -19.7 eV per cell.

---

[5]
NbGeH2 | PBE | optimized geometry

a = 5.453 Å, b = 5.453 Å, c = 5.453 Å
α = 90.00°, β = 90.00°, γ = 90.00°
Space group Fm-3m (No. 225)
Symmetry-distinct sites (fractional):
Nb (0.000, 0.000, 0.000)
Ge (0.000, 0.000, 0.500)
H (0.250, 0.250, 0.250)

Properties
The density is 6.86 g cm⁻³. For the energy relative to the lowest polymorph listed for this composition, the calculation gives 63.5 kJ/mol of atoms.

---

[6]
NbGeH2 | PBE | optimized geometry

a = 5.754 Å, b = 5.754 Å, c = 5.359 Å
α = 90.00°, β = 90.00°, γ = 90.00°
Space group I-42d (No. 122)
Symmetry-distinct sites (fractional):
Nb (0.000, 0.000, 0.000)
Ge (0.000, 0.000, 0.500)
H (0.175, 0.250, 0.125)

Properties
The density is 6.27 g cm⁻³. For the energy relative to the lowest polymorph listed for this composition, the calculation gives 19.4 kJ/mol of atoms.

---

Please write out number 3 again, unchanged.
Na2YGeH | PBE | optimized geometry

a = 5.919 Å, b = 5.919 Å, c = 3.653 Å
α = 90.00°, β = 90.00°, γ = 90.00°
Space group P4/mmm (No. 123)
Symmetry-distinct sites (fractional):
Na (0.000, 0.500, 0.000)
Y (0.000, 0.000, 0.500)
Ge (0.500, 0.500, 0.000)
H (0.500, 0.500, 0.500)

Properties
The density is 2.71 g cm⁻³. Its electronic total energy is -14.6 eV per cell.